# Ca2TmCd3

A relaxed structure of Ca2TmCd3 (PBE, the Alexandria database).

## Properties
The calculated total energy comes out at -2.212 eV per atom. The calculated formation energy is -7.88 kcal/mol of atoms. The magnetization is 0.000 μB/f.u. The calculation puts the volume at 27.12 A^3/atom. Its distance to the lowest polymorph of the same formula is 0 meV/atom.

abc: 3.7862 3.7862 11.3524
angles: 90.00 90.00 90.00
Last column: nearest neighbours and their distance in Å.
Atoms (fractional coordinates):
Ca: 0.5000 0.5000 0.8297  8 Cd 3.30-3.34
Ca: 0.5000 0.5000 0.1703  8 Cd 3.30-3.34
Tm: 0.5000 0.5000 0.5000  8 Cd 3.20
Cd: 0.0000 0.0000 0.0000  8 Ca 3.30
Cd: 0.0000 0.0000 0.6545  4 Tm 3.20, 4 Ca 3.34, 1 Cd 3.51
Cd: 0.0000 0.0000 0.3455  4 Tm 3.20, 4 Ca 3.34, 1 Cd 3.51